Compound: KNbCdFeBr
Source: Alexandria via LeMat-Bulk
Functional: GGA-PBE
Structure: relaxed

Structure (POSCAR):
```
KNbCdFeBr
1.0
3.290 0.000 0.000
0.000 3.290 0.000
0.000 0.000 10.673
K Nb Cd Fe Br
1 1 1 1 1
Cartesian
0.000 0.000 0.000
1.645 1.645 5.893
1.645 1.645 2.935
0.000 0.000 4.830
1.645 1.645 8.507
```

Output
The final energy is -0.166 hartree per atom. Its calculated density is 5464 kg/m3. The density of states at the Fermi level is 2.6 states/eV per cell. Its energy above the most stable polymorph in this dataset is 4.2 meV/atom. The formation energy without anion corrections is -0.07 eV/atom.